[1]
# HoEr2Rh9 (PBE, optimized geometry)
# ΔE_f, eV per formula unit: -6.94
# Fermi-level density of states, states/eV per cell: 38.1
data_HoEr2Rh9
_chemical_formula_sum 'Ho3 Er6 Rh27'
_cell_length_a 5.2392
_cell_length_b 5.2392
_cell_length_c 26.2657
_cell_angle_alpha 90.00
_cell_angle_beta 90.00
_cell_angle_gamma 120.00
_space_group_name_H-M_alt 'R -3 m'
_space_group_IT_number 166
_space_group_name_Hall '-R 3 2"'
loop_
_atom_site_label
_atom_site_type_symbol
_atom_site_fract_x
_atom_site_fract_y
_atom_site_fract_z
Ho1 Ho 0.0000 0.0000 0.0000
Er1 Er 0.0000 0.0000 0.1390
Rh1 Rh 0.0000 0.0000 0.3331
Rh2 Rh 0.0000 0.0000 0.5000
Rh3 Rh 0.0007 0.5004 0.9170

[2]
# PmSc2Tl2 (PBE, optimized geometry)
# ΔE_f, eV per formula unit: 0.19
# Fermi-level density of states, states/eV per cell: 9.8
data_PmSc2Tl2
_chemical_formula_sum 'Pm2 Sc4 Tl4'
_cell_length_a 5.385
_cell_length_b 7.851
_cell_length_c 6.645
_cell_angle_alpha 90.00
_cell_angle_beta 90.00
_cell_angle_gamma 90.00
_space_group_name_H-M_alt 'C m m m'
_space_group_IT_number 65
_space_group_name_Hall '-C 2 2'
loop_
_atom_site_label
_atom_site_type_symbol
_atom_site_fract_x
_atom_site_fract_y
_atom_site_fract_z
Pm1 Pm 0.000 0.000 0.000
Sc1 Sc 0.000 0.179 0.500
Tl1 Tl 0.000 0.500 0.257

[3]
# AcNd2Zn2Si2 (PBE, optimized geometry)
# Uncorrected formation energy, eV/f.u.: -3.0
# Fermi-level density of states, states/eV per cell: 21.3
data_AcNd2Zn2Si2
_chemical_formula_sum 'Ac3 Nd6 Zn6 Si6'
_cell_length_a 4.1855
_cell_length_b 4.1855
_cell_length_c 35.9485
_cell_angle_alpha 90.00
_cell_angle_beta 90.00
_cell_angle_gamma 120.00
_space_group_name_H-M_alt 'R -3 m'
_space_group_IT_number 166
_space_group_name_Hall '-R 3 2"'
loop_
_atom_site_label
_atom_site_type_symbol
_atom_site_fract_x
_atom_site_fract_y
_atom_site_fract_z
Ac1 Ac 0.0000 0.0000 0.0000
Nd1 Nd 0.0000 0.0000 0.1233
Zn1 Zn 0.0000 0.0000 0.3990
Si1 Si 0.0000 0.0000 0.2668

[4]
# TaBe2Se (PBE, optimized geometry)
# Uncorrected formation energy, eV/f.u.: 2.3
# Fermi-level density of states, states/eV per cell: 2.1
data_TaBe2Se
_chemical_formula_sum 'Ta4 Be8 Se4'
_cell_length_a 6.102
_cell_length_b 6.102
_cell_length_c 6.102
_cell_angle_alpha 90.00
_cell_angle_beta 90.00
_cell_angle_gamma 90.00
_space_group_name_H-M_alt 'F -4 3 m'
_space_group_IT_number 216
_space_group_name_Hall 'F -4 2 3'
loop_
_atom_site_label
_atom_site_type_symbol
_atom_site_fract_x
_atom_site_fract_y
_atom_site_fract_z
Ta1 Ta 0.000 0.000 0.000
Be1 Be 0.000 0.000 0.500
Be2 Be 0.250 0.250 0.750
Se1 Se 0.250 0.250 0.250

[5]
# ZnGa4Bi (PBE, optimized geometry)
# ΔE_f, eV per formula unit: 0.89
# Fermi-level density of states, states/eV per cell: 16.8
data_ZnGa4Bi
_chemical_formula_sum 'Zn4 Ga16 Bi4'
_cell_length_a 8.044
_cell_length_b 8.044
_cell_length_c 8.044
_cell_angle_alpha 90.00
_cell_angle_beta 90.00
_cell_angle_gamma 90.00
_space_group_name_H-M_alt 'F -4 3 m'
_space_group_IT_number 216
_space_group_name_Hall 'F -4 2 3'
loop_
_atom_site_label
_atom_site_type_symbol
_atom_site_fract_x
_atom_site_fract_y
_atom_site_fract_z
Zn1 Zn 0.000 0.000 0.000
Ga1 Ga 0.126 0.126 0.626
Bi1 Bi 0.250 0.250 0.250

[6]
# Tl2InGa2F6 (PBE, optimized geometry)
# Uncorrected formation energy, eV/f.u.: -19.7
# Fermi-level density of states, states/eV per cell: 3.2
data_Tl2InGa2F6
_chemical_formula_sum 'Tl4 In2 Ga4 F12'
_cell_length_a 11.592
_cell_length_b 5.749
_cell_length_c 7.546
_cell_angle_alpha 90.00
_cell_angle_beta 119.48
_cell_angle_gamma 90.00
_space_group_name_H-M_alt 'C 1 2/m 1'
_space_group_IT_number 12
loop_
_space_group_symop_operation_xyz
'x,y,z'
'-x,-y,-z'
'-x,y,-z'
'x,-y,z'
'x+1/2,y+1/2,z'
'-x+1/2,-y+1/2,-z'
'-x+1/2,y+1/2,-z'
'x+1/2,-y+1/2,z'
loop_
_atom_site_label
_atom_site_type_symbol
_atom_site_fract_x
_atom_site_fract_y
_atom_site_fract_z
Tl1 Tl 0.191 0.000 0.153
In1 In 0.000 0.000 0.500
Ga1 Ga 0.038 0.500 0.837
F1 F 0.078 0.260 0.383
F2 F 0.176 0.000 0.774

[7]
# ScTa2Te (PBE, optimized geometry)
# Uncorrected formation energy, eV/f.u.: 1.1
# Fermi-level density of states, states/eV per cell: 10.3
data_ScTa2Te
_chemical_formula_sum 'Sc3 Ta6 Te3'
_cell_length_a 3.2549
_cell_length_b 3.2549
_cell_length_c 27.4320
_cell_angle_alpha 90.00
_cell_angle_beta 90.00
_cell_angle_gamma 120.00
_space_group_name_H-M_alt 'R -3 m'
_space_group_IT_number 166
_space_group_name_Hall '-R 3 2"'
loop_
_atom_site_label
_atom_site_type_symbol
_atom_site_fract_x
_atom_site_fract_y
_atom_site_fract_z
Sc1 Sc 0.0000 0.0000 0.0000
Ta1 Ta 0.0000 0.0000 0.2447
Te1 Te 0.0000 0.0000 0.5000

[8]
# Ti2GaF (PBE, optimized geometry)
# Uncorrected formation energy, eV/f.u.: -2.0
# Fermi-level density of states, states/eV per cell: 18.7
data_Ti2GaF
_chemical_formula_sum 'Ti8 Ga4 F4'
_cell_length_a 4.873
_cell_length_b 4.873
_cell_length_c 11.995
_cell_angle_alpha 90.00
_cell_angle_beta 90.00
_cell_angle_gamma 90.00
_space_group_name_H-M_alt 'I -4 2 d'
_space_group_IT_number 122
_space_group_name_Hall 'I -4 2bw'
loop_
_atom_site_label
_atom_site_type_symbol
_atom_site_fract_x
_atom_site_fract_y
_atom_site_fract_z
Ti1 Ti 0.143 0.250 0.125
Ga1 Ga 0.000 0.000 0.500
F1 F 0.000 0.000 0.000

[9]
# CdFeAg2 (PBE, optimized geometry)
# ΔE_f, eV per formula unit: 1.24
# Fermi-level density of states, states/eV per cell: 12.2
data_CdFeAg2
_chemical_formula_sum 'Cd4 Fe4 Ag8'
_cell_length_a 6.523
_cell_length_b 6.523
_cell_length_c 6.523
_cell_angle_alpha 90.00
_cell_angle_beta 90.00
_cell_angle_gamma 90.00
_space_group_name_H-M_alt 'F -4 3 m'
_space_group_IT_number 216
_space_group_name_Hall 'F -4 2 3'
loop_
_atom_site_label
_atom_site_type_symbol
_atom_site_fract_x
_atom_site_fract_y
_atom_site_fract_z
Cd1 Cd 0.000 0.000 0.000
Fe1 Fe 0.250 0.250 0.250
Ag1 Ag 0.000 0.000 0.500
Ag2 Ag 0.250 0.250 0.750

[10]
# PmCo4Hg (PBE, optimized geometry)
# ΔE_f, eV per formula unit: 0.02
# Fermi-level density of states, states/eV per cell: 35.8
data_PmCo4Hg
_chemical_formula_sum 'Pm4 Co16 Hg4'
_cell_length_a 7.155
_cell_length_b 7.155
_cell_length_c 7.155
_cell_angle_alpha 90.00
_cell_angle_beta 90.00
_cell_angle_gamma 90.00
_space_group_name_H-M_alt 'F -4 3 m'
_space_group_IT_number 216
_space_group_name_Hall 'F -4 2 3'
loop_
_atom_site_label
_atom_site_type_symbol
_atom_site_fract_x
_atom_site_fract_y
_atom_site_fract_z
Pm1 Pm 0.000 0.000 0.000
Co1 Co 0.124 0.124 0.376
Hg1 Hg 0.250 0.250 0.750

[11]
# MnHgSe (PBE, optimized geometry)
# Uncorrected formation energy, eV/f.u.: -0.5
# Fermi-level density of states, states/eV per cell: 2.9
data_MnHgSe
_chemical_formula_sum 'Mn2 Hg2 Se2'
_cell_length_a 4.347
_cell_length_b 4.347
_cell_length_c 9.558
_cell_angle_alpha 90.00
_cell_angle_beta 90.00
_cell_angle_gamma 90.00
_space_group_name_H-M_alt 'P 4/n m m'
_space_group_IT_number 129
loop_
_space_group_symop_operation_xyz
'x,y,z'
'-x,-y,-z'
'-y+1/2,x,z'
'y+1/2,-x,-z'
'-x+1/2,-y+1/2,z'
'x+1/2,y+1/2,-z'
'y,-x+1/2,z'
'-y,x+1/2,-z'
'x+1/2,-y,-z'
'-x+1/2,y,z'
'-y,-x,-z'
'y,x,z'
'-x,y+1/2,-z'
'x,-y+1/2,z'
'y+1/2,x+1/2,-z'
'-y+1/2,-x+1/2,z'
loop_
_atom_site_label
_atom_site_type_symbol
_atom_site_fract_x
_atom_site_fract_y
_atom_site_fract_z
Mn1 Mn 0.250 0.750 0.000
Hg1 Hg 0.250 0.250 0.488
Se1 Se 0.250 0.250 0.146

[12]
# RbAgCl3 (PBE, optimized geometry)
# Uncorrected formation energy, eV/f.u.: -5.1
# Fermi-level density of states, states/eV per cell: 0.1
data_RbAgCl3
_chemical_formula_sum 'Rb4 Ag4 Cl12'
_cell_length_a 9.720
_cell_length_b 7.481
_cell_length_c 9.928
_cell_angle_alpha 90.00
_cell_angle_beta 120.66
_cell_angle_gamma 90.00
_space_group_name_H-M_alt 'P 1 21/c 1'
_space_group_IT_number 14
loop_
_space_group_symop_operation_xyz
'x,y,z'
'-x,-y,-z'
'-x,y+1/2,-z+1/2'
'x,-y+1/2,z+1/2'
loop_
_atom_site_label
_atom_site_type_symbol
_atom_site_fract_x
_atom_site_fract_y
_atom_site_fract_z
Rb1 Rb 0.170 0.250 0.085
Ag1 Ag 0.300 0.688 0.400
Cl1 Cl 0.042 0.548 0.271
Cl2 Cl 0.272 0.749 0.636
Cl3 Cl 0.422 0.247 0.461

Q: Among the records above, which one has the lowest Fermi-level density of states?
A: RbAgCl3

Q: Among the records above, which one has the highest Fermi-level density of states?
A: HoEr2Rh9

Q: Which value of Fermi-level density of states does entry 11 give?
A: 2.9 states/eV per cell

Q: Fermi-level density of states of number 12 (RbAgCl3)?
A: 0.1 states/eV per cell